The following is a DFT calculation (GGA-PBE) of an optimized crystal structure of KSr2H.

Unit cell a=8.095 b=8.095 c=11.329 alpha=90.00 beta=90.00 gamma=90.00
Space group I-42d (No. 122)
One atom of each set of equivalent atoms:
K 0.000 0.000 0.000 (multiplicity 4)
Sr 0.037 0.250 0.625 (multiplicity 8)
H 0.000 0.000 0.500 (multiplicity 4)

**Energy relative to the lowest polymorph listed for this composition**: 0.0 kJ/mol of atoms
**Total DFT energy (no corrections)**: -2.032 eV per atom


The following is a DFT calculation (GGA-PBE) of an optimized crystal structure of K3Sr12H5.

Unit cell a=18.650 b=18.650 c=18.650 alpha=90.00 beta=90.00 gamma=90.00
Space group Ia-3d (No. 230)
One atom of each set of equivalent atoms:
K 0.000 0.250 0.125 (multiplicity 24)
Sr 0.042 0.148 0.950 (multiplicity 96)
H 0.000 0.000 0.000 (multiplicity 16)
H 0.000 0.250 0.375 (multiplicity 24)

**Total DFT energy (no corrections)**: -2.018 eV per atom


The following is a DFT calculation (GGA-PBE) of an optimized crystal structure of K3SrH.

Unit cell a=6.203 b=6.203 c=6.203 alpha=90.00 beta=90.00 gamma=90.00
Space group Pm-3m (No. 221)
One atom of each set of equivalent atoms:
K 0.000 0.000 0.500 (multiplicity 3)
Sr 0.500 0.500 0.500 (multiplicity 1)
H 0.000 0.000 0.000 (multiplicity 1)

**Total DFT energy (no corrections)**: -1.538 eV per atom


The following is a DFT calculation (GGA-PBE) of an optimized crystal structure of KSr2H.

Unit cell a=4.1574 b=4.1574 c=32.0674 alpha=90.00 beta=90.00 gamma=120.00
Space group R3m (No. 160, hexagonal axes)
One atom of each set of equivalent atoms:
K 0.0000 0.0000 0.0000 (multiplicity 3)
Sr 0.0000 0.0000 0.5483 (multiplicity 3)
Sr 0.0000 0.0000 0.7848 (multiplicity 3)
H 0.0000 0.0000 0.1662 (multiplicity 3)

**Energy relative to the lowest polymorph listed for this composition**: 2.1 kJ/mol of atoms
**Total DFT energy (no corrections)**: -2.011 eV per atom